Density functional theory data (GGA-PBE) for an optimized crystal structure of NaBS4.

abc: 11.203 11.203 4.958
angles: 102.69 102.69 142.79
Element x y z (fractional)
Na 0.107 0.893 0.750
Na 0.893 0.107 0.250
B 0.251 0.749 0.250
B 0.749 0.251 0.750
S 0.045 0.451 0.796
S 0.279 0.350 0.065
S 0.350 0.279 0.565
S 0.451 0.045 0.296
S 0.549 0.955 0.704
S 0.650 0.721 0.435
S 0.721 0.650 0.935
S 0.955 0.549 0.204

- total energy (eV per atom) = -4.42
- formation energy without anion corrections (eV per atom) = -0.3386